Here is a geometry-optimized Eu2CrSbO6 structure from Alexandria. Energies are from PBE+U.

Summary:
raw total energy = -8.4096 eV/atom
space group = Fm-3m (225)
spin magnetization = 17.0 μB per cell
density of states at the Fermi level = 3.072 states/eV per atom

a = 5.671 Å, b = 5.671 Å, c = 5.671 Å
α = 60.00°, β = 60.00°, γ = 60.00°
Element x y z (fractional)
Eu: 0.250 0.250 0.250
Eu: 0.750 0.750 0.750
Cr: 0.000 0.000 0.000
Sb: 0.500 0.500 0.500
O: 0.251 0.251 0.749
O: 0.251 0.749 0.251
O: 0.251 0.749 0.749
O: 0.749 0.251 0.251
O: 0.749 0.251 0.749
O: 0.749 0.749 0.251